Record 1
A PBEsol-optimized structure of KInP2O7, computed with SCAN.

a = 7.431 Å, b = 10.502 Å, c = 8.473 Å
α = 90.00°, β = 107.14°, γ = 90.00°
Space group P2_1/c (No. 14)
Inequivalent atoms, fractional coordinates:
K1 0.169 0.179 0.063 (multiplicity 4)
In1 0.236 0.599 0.258 (multiplicity 4)
P1 0.128 0.601 0.822 (multiplicity 4)
P2 0.444 0.641 0.696 (multiplicity 4)
O1 0.010 0.003 0.214 (multiplicity 4)
O2 0.067 0.732 0.742 (multiplicity 4)
O3 0.126 0.598 0.999 (multiplicity 4)
O4 0.322 0.607 0.523 (multiplicity 4)
O5 0.343 0.575 0.821 (multiplicity 4)
O6 0.357 0.084 0.758 (multiplicity 4)
O7 0.464 0.717 0.238 (multiplicity 4)

Values from the calculation:
Raw formation energy in eV/f.u.: -26.70
Total energy in eV/atom: -12.075

---

Record 2
A PBEsol-optimized structure of Be4MoRu, computed with SCAN.

a = 6.149 Å, b = 6.149 Å, c = 6.149 Å
α = 90.00°, β = 90.00°, γ = 90.00°
Space group F-43m (No. 216)
Inequivalent atoms, fractional coordinates:
Be1 0.124 0.124 0.124 (multiplicity 16)
Mo1 0.250 0.250 0.750 (multiplicity 4)
Ru1 0.000 0.000 0.500 (multiplicity 4)

Values from the calculation:
Formation enthalpy at 0 K in eV per atom: -0.3775
Total energy in eV/atom: -14.898

---

Record 3
A PBEsol-optimized structure of KPtW2, computed with SCAN.

a = 2.703 Å, b = 5.019 Å, c = 5.224 Å
α = 90.00°, β = 90.00°, γ = 90.00°
Space group Pmmm (No. 47)
Inequivalent atoms, fractional coordinates:
K1 0.000 0.000 0.000 (multiplicity 1)
Pt1 0.500 0.500 0.000 (multiplicity 1)
W1 0.000 0.500 0.500 (multiplicity 1)
W2 0.500 0.000 0.500 (multiplicity 1)

Values from the calculation:
Formation enthalpy at 0 K in eV per atom: 1.2131
Relative energy among the computed polymorphs in kJ/mol of atoms: 34.69
Total energy in eV/atom: -53.261

---

Record 4
A PBEsol-optimized structure of K2SIO7, computed with SCAN.

a = 7.279 Å, b = 7.087 Å, c = 15.100 Å
α = 90.00°, β = 110.92°, γ = 90.00°
Space group P2_1/c (No. 14)
Inequivalent atoms, fractional coordinates:
K1 0.051 0.160 0.178 (multiplicity 4)
K2 0.405 0.602 0.582 (multiplicity 4)
S1 0.438 0.624 0.853 (multiplicity 4)
I1 0.130 0.119 0.447 (multiplicity 4)
O1 0.017 0.547 0.171 (multiplicity 4)
O2 0.072 0.666 0.003 (multiplicity 4)
O3 0.172 0.132 0.932 (multiplicity 4)
O4 0.345 0.161 0.618 (multiplicity 4)
O5 0.347 0.726 0.391 (multiplicity 4)
O6 0.353 0.606 0.750 (multiplicity 4)
O7 0.415 0.062 0.398 (multiplicity 4)

Values from the calculation:
Raw formation energy in eV/f.u.: -14.92
Total energy in eV/atom: -11.052

---

Record 5
A PBEsol-optimized structure of Li2YW, computed with SCAN.

a = 2.8506 Å, b = 2.8506 Å, c = 32.1301 Å
α = 90.00°, β = 90.00°, γ = 120.00°
Space group R-3m (No. 166, hexagonal axes)
Inequivalent atoms, fractional coordinates:
Li1 0.0000 0.0000 0.2416 (multiplicity 6)
Y1 0.0000 0.0000 0.0000 (multiplicity 3)
W1 0.0000 0.0000 0.5000 (multiplicity 3)

Values from the calculation:
Formation enthalpy at 0 K in eV per atom: 0.7115
Relative energy among the computed polymorphs in kJ/mol of atoms: 11.67
Total energy in eV/atom: -24.866

---

Record 6
A PBEsol-optimized structure of Te2POs, computed with SCAN.

a = 3.8910 Å, b = 3.8910 Å, c = 23.8031 Å
α = 90.00°, β = 90.00°, γ = 120.00°
Space group R-3m (No. 166, hexagonal axes)
Inequivalent atoms, fractional coordinates:
Te1 0.0000 0.0000 0.1092 (multiplicity 6)
P1 0.0000 0.0000 0.0000 (multiplicity 3)
Os1 0.0000 0.0000 0.5000 (multiplicity 3)

Values from the calculation:
Raw formation energy in eV/f.u.: 2.48
Relative energy among the computed polymorphs in kJ/mol of atoms: 10.17
Total energy in eV/atom: -38.576

---

Record 7
A PBEsol-optimized structure of BaTiP2, computed with SCAN.

a = 6.910 Å, b = 6.910 Å, c = 6.910 Å
α = 90.00°, β = 90.00°, γ = 90.00°
Space group Fm-3m (No. 225)
Inequivalent atoms, fractional coordinates:
Ba1 0.000 0.000 0.000 (multiplicity 4)
Ti1 0.000 0.000 0.500 (multiplicity 4)
P1 0.250 0.250 0.250 (multiplicity 8)

Values from the calculation:
Formation enthalpy at 0 K in eV per atom: -0.2064
Total energy in eV/atom: -19.301

---

Record 8
A PBEsol-optimized structure of KBaNa2Ti3FeSi4O18, computed with SCAN.

a = 5.354 Å, b = 7.073 Å, c = 10.703 Å
α = 70.88°, β = 83.61°, γ = 89.96°
Space group P1 (No. 1)
Inequivalent atoms, fractional coordinates:
K1 0.000 0.000 0.000 (multiplicity 1)
Ba1 0.522 0.565 0.878 (multiplicity 1)
Na1 0.264 0.290 0.433 (multiplicity 1)
Na2 0.763 0.550 0.435 (multiplicity 1)
Ti1 0.263 0.797 0.435 (multiplicity 1)
Ti2 0.561 0.137 0.722 (multiplicity 1)
Ti3 0.961 0.418 0.151 (multiplicity 1)
Fe1 0.761 0.011 0.437 (multiplicity 1)
Si1 0.054 0.869 0.717 (multiplicity 1)
Si2 0.066 0.436 0.708 (multiplicity 1)
Si3 0.454 0.708 0.162 (multiplicity 1)
Si4 0.472 0.143 0.154 (multiplicity 1)
O1 0.046 0.619 0.776 (multiplicity 1)
O2 0.068 0.951 0.555 (multiplicity 1)
O3 0.108 0.536 0.547 (multiplicity 1)
O4 0.216 0.636 0.104 (multiplicity 1)
O5 0.236 0.273 0.094 (multiplicity 1)
O6 0.295 0.929 0.778 (multiplicity 1)
O7 0.305 0.311 0.767 (multiplicity 1)
O8 0.415 0.647 0.324 (multiplicity 1)
O9 0.459 0.065 0.316 (multiplicity 1)
O10 0.477 0.954 0.095 (multiplicity 1)
O11 0.538 0.791 0.532 (multiplicity 1)
O12 0.608 0.194 0.551 (multiplicity 1)
O13 0.715 0.628 0.108 (multiplicity 1)
O14 0.734 0.271 0.084 (multiplicity 1)
O15 0.790 0.924 0.786 (multiplicity 1)
O16 0.798 0.314 0.761 (multiplicity 1)
O17 0.912 0.306 0.322 (multiplicity 1)
O18 0.985 0.884 0.344 (multiplicity 1)

Values from the calculation:
Raw formation energy in eV/f.u.: -88.37
Total energy in eV/atom: -12.104